(1)
DFT (PBE-GGA) results for a geometry-optimized La4YTm4 structure.

a b c (Å): 10.823 10.823 5.140
angles (deg): 90.00 90.00 90.00
Space group I4/mmm (No. 139)
Inequivalent atoms, fractional coordinates:
La1 0.000 0.331 0.000 x8
Y1 0.000 0.000 0.000 x2
Tm1 0.164 0.164 0.500 x8

Computed properties:
Excess energy over the best structure of this formula in the dataset = 0 meV per atom
Spin magnetization = 0.00 μB/cell
N(E_F) = 16.23 states/eV/f.u.
ΔE_f = 3 kJ per mole of atoms

(2)
DFT (PBE-GGA) results for a geometry-optimized La4Y8Tm structure.

a b c (Å): 11.1313 11.1313 13.5907
angles (deg): 90.00 90.00 120.00
Space group R-3m (No. 166, hexagonal axes)
Inequivalent atoms, fractional coordinates:
La1 0.0000 0.0000 0.0000 x3
La2 0.0000 0.5000 0.0000 x9
Y1 0.0000 0.0000 0.2408 x6
Y2 0.0119 0.5059 0.7464 x18
Tm1 0.0000 0.0000 0.5000 x3

Computed properties:
Spin magnetization = 11.99 μB/cell
N(E_F) = 25.17 states/eV/f.u.
ΔE_f = 52 kJ per mole of atoms

(3)
DFT (PBE-GGA) results for a geometry-optimized La3YTm structure.

a b c (Å): 3.608 17.681 11.171
angles (deg): 90.00 90.00 90.00
Space group Cmcm (No. 63)
Inequivalent atoms, fractional coordinates:
La1 0.000 0.000 0.000 x4
La2 0.000 0.325 0.055 x8
Y1 0.000 0.477 0.250 x4
Tm1 0.000 0.148 0.250 x4

Computed properties:
Excess energy over the best structure of this formula in the dataset = 0 meV per atom
Spin magnetization = 0.00 μB/cell
N(E_F) = 7.83 states/eV/f.u.
ΔE_f = 16 kJ per mole of atoms

(4)
DFT (PBE-GGA) results for a geometry-optimized La12Y2Tm structure.

a b c (Å): 6.644 6.644 25.832
angles (deg): 90.00 90.00 90.00
Space group P4/nbm (No. 125, origin choice 2)
Inequivalent atoms, fractional coordinates:
La1 0.070 0.570 0.112 x8
La2 0.082 0.582 0.437 x8
La3 0.250 0.250 0.214 x4
La4 0.250 0.250 0.337 x4
Y1 0.250 0.750 0.272 x4
Tm1 0.250 0.750 0.000 x2

Computed properties:
Spin magnetization = 0.00 μB/cell
N(E_F) = 19.35 states/eV/f.u.
ΔE_f = 29 kJ per mole of atoms

(5)
DFT (PBE-GGA) results for a geometry-optimized LaY3Tm6 structure.

a b c (Å): 9.428 15.282 8.881
angles (deg): 90.00 90.00 90.00
Space group Cmc2_1 (No. 36)
Inequivalent atoms, fractional coordinates:
La1 0.000 0.226 0.000 x4
Y1 0.000 0.455 0.911 x4
Y2 0.171 0.143 0.426 x8
Tm1 0.000 0.054 0.781 x4
Tm2 0.000 0.293 0.634 x4
Tm3 0.178 0.352 0.268 x8
Tm4 0.240 0.059 0.095 x8

Computed properties:
Excess energy over the best structure of this formula in the dataset = 0 meV per atom
Spin magnetization = 0.01 μB/cell
N(E_F) = 12.98 states/eV/f.u.
ΔE_f = 13 kJ per mole of atoms

(6)
DFT (PBE-GGA) results for a geometry-optimized La7Y6Tm16 structure.

a b c (Å): 15.898 15.898 15.898
angles (deg): 90.00 90.00 90.00
Space group Fm-3m (No. 225)
Inequivalent atoms, fractional coordinates:
La1 0.000 0.000 0.000 x4
La2 0.000 0.250 0.250 x24
Y1 0.000 0.000 0.260 x24
Tm1 0.129 0.129 0.129 x32
Tm2 0.153 0.153 0.347 x32

Computed properties:
Spin magnetization = 0.00 μB/cell
N(E_F) = 56.05 states/eV/f.u.
ΔE_f = 26 kJ per mole of atoms

(7)
DFT (PBE-GGA) results for a geometry-optimized La4Y2Tm structure.

a b c (Å): 12.109 24.693 6.549
angles (deg): 90.00 90.00 90.00
Space group Fdd2 (No. 43)
Inequivalent atoms, fractional coordinates:
La1 0.048 0.071 0.000 x16
La2 0.072 0.143 0.533 x16
Y1 0.022 0.217 0.052 x16
Tm1 0.000 0.000 0.499 x8

Computed properties:
Excess energy over the best structure of this formula in the dataset = 0 meV per atom
Spin magnetization = 0.00 μB/cell
N(E_F) = 12.32 states/eV/f.u.
ΔE_f = 7 kJ per mole of atoms

(8)
DFT (PBE-GGA) results for a geometry-optimized La4Y7Tm structure.

a b c (Å): 12.051 5.946 12.990
angles (deg): 90.00 115.35 90.00
Space group C2/m (No. 12)
Inequivalent atoms, fractional coordinates:
La1 0.097 0.000 0.284 x4
La2 0.129 0.500 0.777 x4
Y1 0.000 0.000 0.000 x2
Y2 0.134 0.500 0.485 x4
Y3 0.154 0.000 0.627 x4
Y4 0.212 0.000 0.914 x4
Tm1 0.000 0.500 0.000 x2

Computed properties:
Excess energy over the best structure of this formula in the dataset = 257 meV per atom
Spin magnetization = 0.01 μB/cell
N(E_F) = 21.07 states/eV/f.u.
ΔE_f = 26 kJ per mole of atoms

(9)
DFT (PBE-GGA) results for a geometry-optimized La4Y4Tm3 structure.

a b c (Å): 3.536 5.697 18.458
angles (deg): 98.86 95.49 90.01
Space group P-1 (No. 2)
Inequivalent atoms, fractional coordinates:
La1 0.047 0.048 0.093 x2
La2 0.179 0.679 0.357 x2
Y1 0.091 0.592 0.181 x2
Y2 0.232 0.232 0.464 x2
Tm1 0.363 0.863 0.727 x2
Tm2 0.500 0.500 0.000 x1

Computed properties:
Excess energy over the best structure of this formula in the dataset = 0 meV per atom
Spin magnetization = 0.00 μB/cell
N(E_F) = 19.77 states/eV/f.u.
ΔE_f = 6 kJ per mole of atoms

(10)
DFT (PBE-GGA) results for a geometry-optimized LaYTm4 structure.

a b c (Å): 9.305 9.305 9.305
angles (deg): 90.00 90.00 90.00
Space group F-43m (No. 216)
Inequivalent atoms, fractional coordinates:
La1 0.000 0.000 0.000 x4
Y1 0.250 0.250 0.250 x4
Tm1 0.124 0.124 0.624 x16

Computed properties:
Excess energy over the best structure of this formula in the dataset = 114 meV per atom
Spin magnetization = 6.93 μB/cell
N(E_F) = 12.33 states/eV/f.u.
ΔE_f = 25 kJ per mole of atoms

(11)
DFT (PBE-GGA) results for a geometry-optimized La2Y2Tm7 structure.

a b c (Å): 12.073 6.455 9.438
angles (deg): 90.00 90.06 90.00
Space group C2/m (No. 12)
Inequivalent atoms, fractional coordinates:
La1 0.000 0.248 0.000 x4
Y1 0.221 0.000 0.500 x4
Tm1 0.000 0.000 0.315 x4
Tm2 0.000 0.500 0.500 x2
Tm3 0.250 0.250 0.184 x8

Computed properties:
Excess energy over the best structure of this formula in the dataset = 205 meV per atom
Spin magnetization = 0.52 μB/cell
N(E_F) = 16.17 states/eV/f.u.
ΔE_f = 35 kJ per mole of atoms

(12)
DFT (PBE-GGA) results for a geometry-optimized LaYTm5 structure.

a b c (Å): 5.772 8.566 11.800
angles (deg): 90.00 90.00 90.00
Space group Immm (No. 71)
Inequivalent atoms, fractional coordinates:
La1 0.000 0.000 0.000 x2
Y1 0.000 0.000 0.500 x2
Tm1 0.000 0.000 0.254 x4
Tm2 0.000 0.321 0.500 x4
Tm3 0.000 0.500 0.000 x2

Computed properties:
Excess energy over the best structure of this formula in the dataset = 989 meV per atom
Spin magnetization = 0.00 μB/cell
N(E_F) = 9.44 states/eV/f.u.
ΔE_f = 113 kJ per mole of atoms

Please write out number 3 again, unchanged.
DFT (PBE-GGA) results for a geometry-optimized La3YTm structure.

a b c (Å): 3.608 17.681 11.171
angles (deg): 90.00 90.00 90.00
Space group Cmcm (No. 63)
Inequivalent atoms, fractional coordinates:
La1 0.000 0.000 0.000 x4
La2 0.000 0.325 0.055 x8
Y1 0.000 0.477 0.250 x4
Tm1 0.000 0.148 0.250 x4

Computed properties:
Excess energy over the best structure of this formula in the dataset = 0 meV per atom
Spin magnetization = 0.00 μB/cell
N(E_F) = 7.83 states/eV/f.u.
ΔE_f = 16 kJ per mole of atoms